(1)
An optimized crystal structure of Li6FeN4. Source: Alexandria, functional PBEsol.

Structure (CIF):
```
data_Li6FeN4
_chemical_formula_sum 'Li12 Fe2 N8'
_cell_length_a 6.3807
_cell_length_b 6.3807
_cell_length_c 4.8313
_cell_angle_alpha 90.00
_cell_angle_beta 90.00
_cell_angle_gamma 90.00
_space_group_name_H-M_alt 'P 1'
_space_group_IT_number 1
loop_
_space_group_symop_operation_xyz
'x,y,z'
loop_
_atom_site_label
_atom_site_fract_x
_atom_site_fract_y
_atom_site_fract_z
Li1 0.0356 0.5356 0.2500
Li2 0.0356 0.9644 0.2500
Li3 0.2500 0.2500 0.1404
Li4 0.2500 0.2500 0.6404
Li5 0.4644 0.5356 0.2500
Li6 0.4644 0.9644 0.2500
Li7 0.5356 0.0356 0.7500
Li8 0.5356 0.4644 0.7500
Li9 0.7500 0.7500 0.3596
Li10 0.7500 0.7500 0.8596
Li11 0.9644 0.0356 0.7500
Li12 0.9644 0.4644 0.7500
Fe1 0.2500 0.7500 0.7500
Fe2 0.7500 0.2500 0.2500
N1 0.0149 0.7500 0.5651
N2 0.2500 0.5149 0.9349
N3 0.2500 0.9851 0.9349
N4 0.4851 0.7500 0.5651
N5 0.5149 0.2500 0.4349
N6 0.7500 0.0149 0.0651
N7 0.7500 0.4851 0.0651
N8 0.9851 0.2500 0.4349
```

Computed properties:
- crystal system = tetragonal
- energy relative to the elements, uncorrected (eV per atom) = -0.502
- theoretical density (g cm⁻³) = 2.6

***

(2)
An optimized crystal structure of LiFeSN2. Source: Alexandria, functional PBEsol.

Structure (CIF):
```
data_LiFeSN2
_chemical_formula_sum 'Li1 Fe1 S1 N2'
_cell_length_a 3.4872
_cell_length_b 3.4872
_cell_length_c 4.9536
_cell_angle_alpha 90.00
_cell_angle_beta 90.00
_cell_angle_gamma 90.00
_space_group_name_H-M_alt 'P 1'
_space_group_IT_number 1
loop_
_space_group_symop_operation_xyz
'x,y,z'
loop_
_atom_site_label
_atom_site_fract_x
_atom_site_fract_y
_atom_site_fract_z
Li1 0.0000 0.0000 0.0000
Fe1 0.5000 0.5000 0.5000
S1 0.5000 0.5000 0.0000
N1 0.0000 0.5000 0.5000
N2 0.5000 0.0000 0.5000
```

Computed properties:
- crystal system = tetragonal
- energy relative to the elements, uncorrected (eV per atom) = 0.268
- theoretical density (g cm⁻³) = 3.4

***

(3)
An optimized crystal structure of Sr2LiFe2N3. Source: Alexandria, functional PBEsol.

Structure (CIF):
```
data_Sr2LiFe2N3
_chemical_formula_sum 'Sr4 Li2 Fe4 N6'
_cell_length_a 6.4061
_cell_length_b 6.4061
_cell_length_c 6.4308
_cell_angle_alpha 90.90
_cell_angle_beta 90.90
_cell_angle_gamma 119.73
_space_group_name_H-M_alt 'P 1'
_space_group_IT_number 1
loop_
_space_group_symop_operation_xyz
'x,y,z'
loop_
_atom_site_label
_atom_site_fract_x
_atom_site_fract_y
_atom_site_fract_z
Sr1 0.1780 0.3200 0.4030
Sr2 0.3200 0.1780 0.9030
Sr3 0.6800 0.8220 0.0970
Sr4 0.8220 0.6800 0.5970
Li1 0.1936 0.8064 0.2500
Li2 0.8064 0.1936 0.7500
Fe1 0.1627 0.5715 0.8966
Fe2 0.4285 0.8373 0.6034
Fe3 0.5715 0.1627 0.3966
Fe4 0.8373 0.4285 0.1034
N1 0.0011 0.7203 0.9847
N2 0.2797 0.9989 0.5153
N3 0.4106 0.5894 0.7500
N4 0.5894 0.4106 0.2500
N5 0.7203 0.0011 0.4847
N6 0.9989 0.2797 0.0153
```

Computed properties:
- crystal system = monoclinic
- energy relative to the elements, uncorrected (eV per atom) = -0.648
- theoretical density (g cm⁻³) = 4.9

***

(4)
An optimized crystal structure of Li2NbFe. Source: Alexandria, functional PBEsol.

Structure (CIF):
```
data_Li2NbFe
_chemical_formula_sum 'Li4 Nb2 Fe2'
_cell_length_a 5.4421
_cell_length_b 5.4421
_cell_length_c 5.4421
_cell_angle_alpha 100.48
_cell_angle_beta 100.48
_cell_angle_gamma 129.50
_space_group_name_H-M_alt 'P 1'
_space_group_IT_number 1
loop_
_space_group_symop_operation_xyz
'x,y,z'
loop_
_atom_site_label
_atom_site_fract_x
_atom_site_fract_y
_atom_site_fract_z
Li1 0.0951 0.1250 0.4701
Li2 0.3750 0.9049 0.0299
Li3 0.6549 0.6250 0.5299
Li4 0.8750 0.3451 0.9701
Nb1 0.2500 0.7500 0.5000
Nb2 0.5000 0.5000 0.0000
Fe1 0.0000 0.0000 0.0000
Fe2 0.7500 0.2500 0.5000
```

Computed properties:
- crystal system = tetragonal
- offset from the most stable computed form (eV/atom) = 0.070
- formation energy (kJ per mole of atoms) = 77
- theoretical density (g cm⁻³) = 4.8

***

(5)
An optimized crystal structure of Li2NbFe. Source: Alexandria, functional PBEsol.

Structure (CIF):
```
data_Li2NbFe
_chemical_formula_sum 'Li2 Nb1 Fe1'
_cell_length_a 4.2004
_cell_length_b 4.2004
_cell_length_c 4.2004
_cell_angle_alpha 60.00
_cell_angle_beta 60.00
_cell_angle_gamma 60.00
_space_group_name_H-M_alt 'P 1'
_space_group_IT_number 1
loop_
_space_group_symop_operation_xyz
'x,y,z'
loop_
_atom_site_label
_atom_site_fract_x
_atom_site_fract_y
_atom_site_fract_z
Li1 0.2500 0.2500 0.2500
Li2 0.7500 0.7500 0.7500
Nb1 0.0000 0.0000 0.0000
Fe1 0.5000 0.5000 0.5000
```

Computed properties:
- crystal system = cubic
- offset from the most stable computed form (eV/atom) = 0.000
- formation energy (kJ per mole of atoms) = 71
- theoretical density (g cm⁻³) = 5.2

***

(6)
An optimized crystal structure of Li8NbFe3O12. Source: Alexandria, functional PBEsol.

Structure (CIF):
```
data_Li8NbFe3O12
_chemical_formula_sum 'Li8 Nb1 Fe3 O12'
_cell_length_a 4.8777
_cell_length_b 5.7014
_cell_length_c 7.2815
_cell_angle_alpha 81.13
_cell_angle_beta 90.00
_cell_angle_gamma 89.83
_space_group_name_H-M_alt 'P 1'
_space_group_IT_number 1
loop_
_space_group_symop_operation_xyz
'x,y,z'
loop_
_atom_site_label
_atom_site_fract_x
_atom_site_fract_y
_atom_site_fract_z
Li1 0.0013 0.3413 0.1695
Li2 0.0040 0.6626 0.3128
Li3 0.4947 0.1377 0.3172
Li4 0.4979 0.1507 0.8421
Li5 0.5021 0.8493 0.1579
Li6 0.5053 0.8623 0.6828
Li7 0.9960 0.3374 0.6872
Li8 0.9987 0.6587 0.8305
Nb1 0.5000 0.5000 0.5000
Fe1 0.0000 0.0000 0.0000
Fe2 0.0000 0.0000 0.5000
Fe3 0.5000 0.5000 0.0000
O1 0.1443 0.0046 0.7590
O2 0.1750 0.3262 0.4280
O3 0.2013 0.6546 0.0716
O4 0.3021 0.1573 0.0724
O5 0.3247 0.8215 0.4275
O6 0.3505 0.5037 0.7585
O7 0.6495 0.4963 0.2415
O8 0.6753 0.1785 0.5725
O9 0.6979 0.8427 0.9276
O10 0.7987 0.3454 0.9284
O11 0.8250 0.6738 0.5720
O12 0.8557 0.9954 0.2410
```

Computed properties:
- crystal system = triclinic
- energy relative to the elements, uncorrected (eV per atom) = -1.816
- theoretical density (g cm⁻³) = 4.2

***

(7)
An optimized crystal structure of Li6NbFe5O12. Source: Alexandria, functional PBEsol.

Structure (CIF):
```
data_Li6NbFe5O12
_chemical_formula_sum 'Li6 Nb1 Fe5 O12'
_cell_length_a 4.7864
_cell_length_b 4.7864
_cell_length_c 10.0121
_cell_angle_alpha 94.55
_cell_angle_beta 94.55
_cell_angle_gamma 120.00
_space_group_name_H-M_alt 'P 1'
_space_group_IT_number 1
loop_
_space_group_symop_operation_xyz
'x,y,z'
loop_
_atom_site_label
_atom_site_fract_x
_atom_site_fract_y
_atom_site_fract_z
Li1 0.0776 0.0776 0.2473
Li2 0.2455 0.5844 0.7527
Li3 0.4156 0.7545 0.2473
Li4 0.5844 0.2455 0.7527
Li5 0.7545 0.4156 0.2473
Li6 0.9224 0.9224 0.7527
Nb1 0.5000 0.5000 0.5000
Fe1 0.0000 0.0000 0.0000
Fe2 0.1661 0.8339 0.5000
Fe3 0.3351 0.6649 0.0000
Fe4 0.6649 0.3351 0.0000
Fe5 0.8339 0.1661 0.5000
O1 0.0370 0.7026 0.1080
O2 0.1056 0.4595 0.3785
O3 0.1878 0.1878 0.6218
O4 0.2974 0.9630 0.8920
O5 0.3690 0.3690 0.1116
O6 0.4595 0.1056 0.3785
O7 0.5405 0.8944 0.6215
O8 0.6310 0.6310 0.8884
O9 0.7026 0.0370 0.1080
O10 0.8122 0.8122 0.3782
O11 0.8944 0.5405 0.6215
O12 0.9630 0.2974 0.8920
```

Computed properties:
- crystal system = monoclinic
- energy relative to the elements, uncorrected (eV per atom) = -1.702
- theoretical density (g cm⁻³) = 5.1

***

| no. | DOS at the Fermi energy (states/eV per cell) | VASP energy (eV per atom) |
| --- | --- | --- |
| 1 | 0.92 | -5.49 |
| 2 | 3.71 | -6.21 |
| 3 | 7.88 | -6.79 |
| 4 | 7.49 | -5.13 |
| 5 | 3.76 | -5.20 |
| 6 | 3.11 | -6.67 |
| 7 | 9.38 | -7.14 |